Here is an optimized crystal structure of TeAsBr2 from Alexandria. Energies are from PBE. Values from VASP.

Calculated values
As for the density of states at the Fermi level: 1.90 states/eV per cell. The energy above the lowest structure with this stoichiometry is 476 meV per atom. As for the space group: No. 123. The formation energy from raw total energies comes out at 0.305 eV/atom. As for the total magnetization: 0.0 μB/cell.

```
&SYSTEM
  ibrav = 0, nat = 4, ntyp = 3
/
ATOMIC_SPECIES
Br 79.90 Br.upf
Te 127.60 Te.upf
As 74.92 As.upf
CELL_PARAMETERS angstrom
3.280 0.000 0.000
0.000 3.280 0.000
0.000 0.000 10.856
ATOMIC_POSITIONS crystal
Br 0.000 0.000 0.913
Br 0.000 0.000 0.587
Te 0.500 0.500 0.250
As 0.500 0.500 0.750
```